Model A:
Entry from Alexandria via LeMat-Bulk: an optimized crystal structure of Y4AlCo (PBE).

## Properties
- Space group: C2/c, No. 15

The structure in POSCAR format:
```
Y4AlCo
1.0
-4.768 2.232 -2.896
6.249 -3.217 -5.546
-3.497 -5.166 4.397
Y Co Al
8 2 2
Cartesian
0.114 -1.378 -6.253
-1.903 -0.312 -3.580
-3.662 -0.554 -0.602
-0.547 -2.075 -0.729
-2.130 -4.773 2.209
-0.112 -5.839 -0.465
1.646 -5.597 -3.442
-1.469 -4.076 -3.316
1.566 -7.814 -1.873
-3.582 1.663 -2.171
-3.264 -3.696 -0.591
1.248 -2.455 -3.453
```

---

Model B:
Entry from Alexandria via LeMat-Bulk: an optimized crystal structure of Y4AlCo (PBE).

## Properties
- Space group: P2_1/m, No. 11

The structure in POSCAR format:
```
Y4AlCo
1.0
-4.503 0.283 2.985
1.861 -5.688 3.346
7.183 4.365 3.424
Co Y Al
2 8 2
Cartesian
0.956 -2.033 6.550
3.584 0.992 3.205
6.801 -2.376 6.079
5.910 0.347 4.477
3.455 -1.710 5.709
-1.369 -1.387 5.278
0.759 -3.631 3.943
1.086 0.669 4.047
3.782 2.591 5.813
-2.260 1.335 3.677
4.919 -0.021 7.766
-0.378 -1.020 1.989
```

---

What is the most stable structure shown above? It is model A.